Entry 1:
Material: Fe2Sb5Pd12
Method: DFT, PBE
State: optimized geometry

a = 13.7512 Å, b = 5.6357 Å, c = 9.2040 Å
α = 90.00°, β = 94.41°, γ = 90.00°
With the nearest neighbours (Å) after each atom.
Space group C2/m (No. 12)
Asymmetric unit:
Fe  0.0000  0.2156  0.0000  1 Fe 2.43, 4 Pd 2.53-2.69
Sb  0.0000  0.5000  0.5000  6 Pd 2.64-2.71
Sb  0.1626  0.0000  0.8976  7 Pd 2.69-2.79, 2 Fe 2.77
Sb  0.1918  0.0000  0.4036  7 Pd 2.63-2.74
Pd  0.0010  0.5000  0.2131  2 Fe 2.53, 1 Sb 2.64
Pd  0.0170  0.0000  0.2663  2 Sb 2.63-2.79, 2 Fe 2.73, 6 Pd 2.86-2.88
Pd  0.1477  0.2509  0.6403  4 Sb 2.67-2.75, 4 Pd 2.81-2.90
Pd  0.1750  0.2533  0.1492  1 Fe 2.69, 3 Sb 2.69-2.74, 5 Pd 2.78-3.00

Computed properties:
volume: 18.72 Å³ per atom
total energy: -207.12 eV for the cell shown
energy relative to the elements, uncorrected: -18.8 kJ per mole of atoms


Entry 2:
Material: Fe2SbPd9
Method: DFT, PBE
State: optimized geometry

a = 3.9548 Å, b = 3.9548 Å, c = 11.7972 Å
α = 90.00°, β = 90.00°, γ = 90.00°
With the nearest neighbours (Å) after each atom.
Space group P4/mmm (No. 123)
Asymmetric unit:
Fe  0.0000  0.0000  0.1605  12 Pd 2.74-2.80
Sb  0.0000  0.0000  0.5000  12 Pd 2.80-2.87
Pd  0.0000  0.5000  0.0000  4 Fe 2.74, 8 Pd 2.75-2.80
Pd  0.0000  0.5000  0.3236  8 Pd 2.75-2.87, 2 Fe 2.76, 2 Sb 2.87
Pd  0.5000  0.5000  0.1621  8 Pd 2.75, 4 Fe 2.80
Pd  0.5000  0.5000  0.5000  4 Sb 2.80, 8 Pd 2.87

Computed properties:
volume: 15.38 Å³ per atom
total energy: -70.04 eV for the cell shown
energy relative to the elements, uncorrected: -18.1 kJ per mole of atoms


Entry 3:
Material: FeSb8Pd2
Method: DFT, PBE
State: optimized geometry

a = 5.5243 Å, b = 7.1371 Å, c = 7.3287 Å
α = 75.85°, β = 85.05°, γ = 84.74°
With the nearest neighbours (Å) after each atom.
Space group P-1 (No. 2)
Asymmetric unit:
Fe  0.0000  0.0000  0.0000  6 Sb 2.51
Sb  0.2613  0.1325  0.7071  1 Fe 2.51, 1 Pd 2.72
Sb  0.2653  0.6897  0.0513  1 Fe 2.51, 1 Pd 2.78
Sb  0.2887  0.1270  0.1800  1 Fe 2.51, 1 Pd 2.68
Sb  0.2971  0.5540  0.6792  3 Pd 2.76-2.84, 1 Sb 2.99
Pd  0.1939  0.3995  0.3770  6 Sb 2.68-2.84

Computed properties:
volume: 25.31 Å³ per atom
total energy: -52.27 eV for the cell shown
energy relative to the elements, uncorrected: -3.9 kJ per mole of atoms


Entry 4:
Material: FeSb4Pd2
Method: DFT, PBE
State: optimized geometry

a = 4.9598 Å, b = 4.9598 Å, c = 13.1583 Å
α = 90.00°, β = 90.00°, γ = 90.00°
With the nearest neighbours (Å) after each atom.
Space group I4/mmm (No. 139)
Asymmetric unit:
Fe  0.0000  0.0000  0.0000  6 Sb 2.48-2.61
Sb  0.0000  0.0000  0.1982  1 Pd 2.56, 1 Fe 2.61
Sb  0.0000  0.5000  0.0000  2 Fe 2.48
Pd  0.0000  0.0000  0.3930  5 Sb 2.56-2.85, 1 Pd 2.81

Computed properties:
volume: 23.12 Å³ per atom
total energy: -68.37 eV for the cell shown
energy relative to the elements, uncorrected: 15.9 kJ per mole of atoms


Entry 5:
Material: Fe2Sb2Pd
Method: DFT, PBE
State: optimized geometry

a = 7.0779 Å, b = 7.0779 Å, c = 3.3337 Å
α = 90.00°, β = 90.00°, γ = 90.00°
With the nearest neighbours (Å) after each atom.
Space group P4/mbm (No. 127)
Asymmetric unit:
Fe  0.1221  0.3779  0.0000  1 Fe 2.44, 6 Sb 2.64-2.70
Sb  0.1735  0.6735  0.5000  6 Fe 2.64-2.70
Pd  0.0000  0.0000  0.0000  4 Fe 2.81, 8 Sb 3.10

Computed properties:
volume: 16.70 Å³ per atom
total energy: -59.70 eV for the cell shown
energy relative to the elements, uncorrected: 9.9 kJ per mole of atoms


Entry 6:
Material: FeSb2Pd9
Method: DFT, PBE
State: optimized geometry

a = 4.0030 Å, b = 4.0030 Å, c = 11.9863 Å
α = 90.00°, β = 90.00°, γ = 90.00°
With the nearest neighbours (Å) after each atom.
Space group P4/mmm (No. 123)
Asymmetric unit:
Fe  0.0000  0.0000  0.0000  12 Pd 2.75-2.83
Sb  0.0000  0.0000  0.3241  12 Pd 2.83-2.91
Pd  0.0000  0.5000  0.1578  2 Fe 2.75, 8 Pd 2.75-2.89, 2 Sb 2.83
Pd  0.0000  0.5000  0.5000  8 Pd 2.83-2.84, 4 Sb 2.91
Pd  0.5000  0.5000  0.0000  8 Pd 2.75, 4 Fe 2.83
Pd  0.5000  0.5000  0.3318  4 Sb 2.83, 8 Pd 2.84-2.89

Computed properties:
volume: 16.01 Å³ per atom
total energy: -66.87 eV for the cell shown
energy relative to the elements, uncorrected: -27.6 kJ per mole of atoms


Entry 7:
Material: FeSbPd2
Method: DFT, PBE
State: optimized geometry

a = 3.7930 Å, b = 3.7930 Å, c = 18.6241 Å
α = 90.00°, β = 90.00°, γ = 90.00°
With the nearest neighbours (Å) after each atom.
Space group I-42d (No. 122)
Asymmetric unit:
Fe  0.0000  0.0000  0.0000  4 Pd 2.68, 4 Sb 2.68
Sb  0.0000  0.0000  0.5000  4 Fe 2.68, 4 Pd 2.70
Pd  0.2417  0.2500  0.1250  4 Pd 2.64-2.73, 2 Fe 2.68, 2 Sb 2.70

Computed properties:
volume: 16.75 Å³ per atom
total energy: -87.92 eV for the cell shown
energy relative to the elements, uncorrected: 23.9 kJ per mole of atoms


Entry 8:
Material: FeSbPd4
Method: DFT, PBE
State: optimized geometry

a = 4.3358 Å, b = 18.9954 Å, c = 4.9507 Å
α = 90.00°, β = 90.00°, γ = 90.00°
With the nearest neighbours (Å) after each atom.
Space group Cmc2_1 (No. 36)
Asymmetric unit:
Fe  0.0000  0.0993  0.0000  6 Pd 2.49-2.65, 2 Sb 2.66
Sb  0.0000  0.3534  0.2485  2 Fe 2.66, 7 Pd 2.73-2.90
Pd  0.0000  0.0310  0.5596  2 Fe 2.49-2.54, 5 Pd 2.74-2.76
Pd  0.0000  0.1715  0.4241  1 Fe 2.51, 2 Sb 2.74, 5 Pd 2.75-2.78
Pd  0.0000  0.2373  0.9235  1 Fe 2.65, 3 Sb 2.73-2.90, 4 Pd 2.77-2.78
Pd  0.0000  0.4281  0.7526  2 Fe 2.56, 2 Pd 2.76, 1 Sb 2.84

Computed properties:
volume: 16.99 Å³ per atom
total energy: -134.81 eV for the cell shown
energy relative to the elements, uncorrected: -5.6 kJ per mole of atoms